This record from Alexandria describes an optimized crystal structure of Cu2NiGe. The functional is GGA-PBE.

Cell and atoms, written as POSCAR:
```
Cu2NiGe
1.0
-3.818 -2.626 -4.902
5.139 0.604 -4.327
1.415 -3.207 -4.025
Ni Ge Cu
2 2 4
direct
0.500 0.500 0.000
0.250 0.750 0.500
0.000 0.000 0.000
0.750 0.250 0.500
0.623 0.125 0.250
0.127 0.625 0.250
0.375 0.377 0.750
0.875 0.873 0.750
```

Summary:
ΔH_f (0 K) ... 0.196 eV/atom
Size of the total moment ... 0.0 μB per cell
SG ... No. 122
Calculated volume ... 108.98 Å³ per cell
DOS at the Fermi energy ... 1.1 states/eV/f.u.

---

This record from Alexandria describes an optimized crystal structure of Tb3HoTm2Sb6. The functional is GGA-PBE.

Cell and atoms, written as POSCAR:
```
Tb3HoTm2Sb6
1.0
-2.090 -3.763 0.774
7.052 -4.458 -2.625
2.526 2.981 8.962
Tb Ho Tm Sb
3 1 2 6
direct
0.500 0.500 0.000
0.834 0.167 0.667
0.166 0.833 0.333
0.500 0.000 0.000
0.833 0.667 0.666
0.167 0.333 0.334
0.334 0.914 0.667
0.668 0.581 0.335
0.666 0.086 0.333
0.001 0.249 0.002
0.999 0.751 0.998
0.332 0.419 0.665
```

Summary:
Size of the total moment ... 0.0 μB per cell
SG ... No. 12
Calculated volume ... 354.90 Å³ per cell
Raw formation energy ... -1.115 eV per atom
DOS at the Fermi energy ... 1.9 states/eV/f.u.

---

This record from Alexandria describes an optimized crystal structure of MgAg4Ru4O12. The functional is GGA-PBE.

Cell and atoms, written as POSCAR:
```
MgAg4Ru4O12
1.0
3.636 0.019 6.461
-3.625 1.505 6.289
-1.219 -5.378 4.954
Mg Ag Ru O
1 4 4 12
direct
0.000 0.000 0.000
0.400 0.400 0.400
0.799 0.400 0.400
0.400 0.799 0.400
0.400 0.400 0.799
0.866 0.866 0.402
0.402 0.866 0.866
0.866 0.402 0.866
0.866 0.866 0.866
0.559 0.941 0.941
0.199 0.801 0.199
0.801 0.199 0.199
0.941 0.941 0.559
0.941 0.559 0.941
0.559 0.559 0.941
0.199 0.199 0.801
0.801 0.801 0.199
0.801 0.199 0.801
0.941 0.559 0.559
0.559 0.941 0.559
0.199 0.801 0.801
```

Summary:
Size of the total moment ... 0.0 μB per cell
SG ... No. 216
Calculated volume ... 288.10 Å³ per cell
Raw formation energy ... -0.634 eV per atom
DOS at the Fermi energy ... 14.7 states/eV/f.u.
Energy relative to the lowest polymorph listed for this composition ... 0.063 eV per atom

---

This record from Alexandria describes an optimized crystal structure of HoMgInRu. The functional is GGA-PBE.

Cell and atoms, written as POSCAR:
```
HoMgInRu
1.0
4.838 0.000 0.000
2.419 4.189 0.000
2.419 1.396 3.950
Ru Mg Ho In
1 1 1 1
direct
0.750 0.750 0.750
0.250 0.250 0.250
0.000 0.000 0.000
0.500 0.500 0.500
```

Summary:
ΔH_f (0 K) ... -0.143 eV/atom
Size of the total moment ... 0.0 μB per cell
SG ... No. 216
Calculated volume ... 80.05 Å³ per cell
DOS at the Fermi energy ... 4.5 states/eV/f.u.